Record 1
Computed, not measured: a geometry-optimized PmHo2Sn structure at the PBE level of DFT.

Structure (CIF):
```
data_PmHo2Sn
_chemical_formula_sum 'Pm4 Ho8 Sn4'
_cell_length_a 5.4411
_cell_length_b 12.7754
_cell_length_c 6.9064
_cell_angle_alpha 90.00
_cell_angle_beta 90.00
_cell_angle_gamma 90.00
_symmetry_space_group_name_H-M 'C m c m'
_symmetry_Int_Tables_number 63
_symmetry_space_group_name_Hall '-C 2c 2'
loop_
_atom_site_label
_atom_site_fract_x
_atom_site_fract_y
_atom_site_fract_z
Pm1 0.0000 0.0689 0.2500
Ho1 0.0000 0.3681 0.0200
Sn1 0.0000 0.1760 0.7500
```

Summary:
Its energy above the most stable polymorph in this dataset is 0.127 eV per atom. For the density of states at the Fermi level, the calculation gives 17.2 states/eV/cell. The energy of formation from the pure elements comes out at -292.2 meV per atom.

Record 2
Computed, not measured: a geometry-optimized Pm2HoSn structure at the PBE level of DFT.

Structure (CIF):
```
data_Pm2HoSn
_chemical_formula_sum 'Pm2 Ho1 Sn1'
_cell_length_a 4.8506
_cell_length_b 4.8506
_cell_length_c 4.9295
_cell_angle_alpha 90.00
_cell_angle_beta 90.00
_cell_angle_gamma 90.00
_symmetry_space_group_name_H-M 'P 4/m m m'
_symmetry_Int_Tables_number 123
_symmetry_space_group_name_Hall '-P 4 2'
loop_
_atom_site_label
_atom_site_fract_x
_atom_site_fract_y
_atom_site_fract_z
Pm1 0.0000 0.5000 0.0000
Ho1 0.0000 0.0000 0.5000
Sn1 0.5000 0.5000 0.5000
```

Summary:
Its energy above the most stable polymorph in this dataset is 0.000 eV per atom. For the density of states at the Fermi level, the calculation gives 4.2 states/eV/cell. The energy of formation from the pure elements comes out at -433.3 meV per atom.

Record 3
Computed, not measured: a geometry-optimized Pm3Ho4Sn4 structure at the PBE level of DFT.

Structure (CIF):
```
data_Pm3Ho4Sn4
_chemical_formula_sum 'Pm6 Ho8 Sn8'
_cell_length_a 3.8706
_cell_length_b 5.0534
_cell_length_c 33.7041
_cell_angle_alpha 90.00
_cell_angle_beta 90.00
_cell_angle_gamma 90.00
_symmetry_space_group_name_H-M 'I m m m'
_symmetry_Int_Tables_number 71
_symmetry_space_group_name_Hall '-I 2 2'
loop_
_atom_site_label
_atom_site_fract_x
_atom_site_fract_y
_atom_site_fract_z
Pm1 0.0000 0.0000 0.0000
Pm2 0.0000 0.5000 0.1464
Ho1 0.0000 0.0000 0.2623
Ho2 0.0000 0.5000 0.4060
Sn1 0.0000 0.0000 0.4542
Sn2 0.0000 0.5000 0.3158
```

Summary:
For the density of states at the Fermi level, the calculation gives 27.0 states/eV/cell. The energy of formation from the pure elements comes out at -404.5 meV per atom.

Record 4
Computed, not measured: a geometry-optimized PmHoSn2 structure at the PBE level of DFT.

Structure (CIF):
```
data_PmHoSn2
_chemical_formula_sum 'Pm2 Ho2 Sn4'
_cell_length_a 4.3374
_cell_length_b 4.5519
_cell_length_c 11.5313
_cell_angle_alpha 90.00
_cell_angle_beta 90.00
_cell_angle_gamma 90.00
_symmetry_space_group_name_H-M 'A m m 2'
_symmetry_Int_Tables_number 38
_symmetry_space_group_name_Hall 'A 2 -2'
loop_
_atom_site_label
_atom_site_fract_x
_atom_site_fract_y
_atom_site_fract_z
Pm1 0.0000 0.0000 0.0000
Ho1 0.5000 0.0000 0.2690
Sn1 0.0000 0.0000 0.7271
Sn2 0.5000 0.0000 0.5425
```

Summary:
For the density of states at the Fermi level, the calculation gives 5.7 states/eV/cell. The energy of formation from the pure elements comes out at -740.7 meV per atom.

Record 5
Computed, not measured: a geometry-optimized PmHoSn structure at the PBE level of DFT.

Structure (CIF):
```
data_PmHoSn
_chemical_formula_sum 'Pm2 Ho2 Sn2'
_cell_length_a 4.4328
_cell_length_b 4.3299
_cell_length_c 10.0604
_cell_angle_alpha 90.00
_cell_angle_beta 102.72
_cell_angle_gamma 90.00
_symmetry_space_group_name_H-M 'P 1 21/m 1'
_symmetry_Int_Tables_number 11
_symmetry_space_group_name_Hall '-P 2yb'
loop_
_atom_site_label
_atom_site_fract_x
_atom_site_fract_y
_atom_site_fract_z
Pm1 0.0919 0.2500 0.1848
Ho1 0.2911 0.2500 0.5829
Sn1 0.4507 0.2500 0.8999
```

Summary:
Its energy above the most stable polymorph in this dataset is 0.251 eV per atom. For the density of states at the Fermi level, the calculation gives 8.0 states/eV/cell. The energy of formation from the pure elements comes out at -360.3 meV per atom.

Record 6
Computed, not measured: a geometry-optimized Pm2HoSn5 structure at the PBE level of DFT.

Structure (CIF):
```
data_Pm2HoSn5
_chemical_formula_sum 'Pm4 Ho2 Sn10'
_cell_length_a 7.2519
_cell_length_b 7.2519
_cell_length_c 8.2341
_cell_angle_alpha 90.00
_cell_angle_beta 90.00
_cell_angle_gamma 90.00
_symmetry_space_group_name_H-M 'I 4 m m'
_symmetry_Int_Tables_number 107
_symmetry_space_group_name_Hall 'I 4 -2'
loop_
_atom_site_label
_atom_site_fract_x
_atom_site_fract_y
_atom_site_fract_z
Pm1 0.0000 0.5000 0.0000
Ho1 0.0000 0.0000 0.0803
Sn1 0.0000 0.0000 0.4830
Sn2 0.2193 0.2193 0.7558
```

Summary:
For the density of states at the Fermi level, the calculation gives 6.2 states/eV/cell. The energy of formation from the pure elements comes out at -581.8 meV per atom.

Record 7
Computed, not measured: a geometry-optimized PmHoSn2 structure at the PBE level of DFT.

Structure (CIF):
```
data_PmHoSn2
_chemical_formula_sum 'Pm1 Ho1 Sn2'
_cell_length_a 5.6960
_cell_length_b 5.6960
_cell_length_c 3.4091
_cell_angle_alpha 90.00
_cell_angle_beta 90.00
_cell_angle_gamma 90.00
_symmetry_space_group_name_H-M 'P 4/m m m'
_symmetry_Int_Tables_number 123
_symmetry_space_group_name_Hall '-P 4 2'
loop_
_atom_site_label
_atom_site_fract_x
_atom_site_fract_y
_atom_site_fract_z
Pm1 0.0000 0.0000 0.0000
Ho1 0.5000 0.5000 0.0000
Sn1 0.0000 0.5000 0.5000
```

Summary:
For the density of states at the Fermi level, the calculation gives 5.0 states/eV/cell. The energy of formation from the pure elements comes out at -592.0 meV per atom.

Record 8
Computed, not measured: a geometry-optimized Pm2HoSn9 structure at the PBE level of DFT.

Structure (CIF):
```
data_Pm2HoSn9
_chemical_formula_sum 'Pm2 Ho1 Sn9'
_cell_length_a 4.7166
_cell_length_b 4.7166
_cell_length_c 14.3916
_cell_angle_alpha 90.00
_cell_angle_beta 90.00
_cell_angle_gamma 90.00
_symmetry_space_group_name_H-M 'P 4/m m m'
_symmetry_Int_Tables_number 123
_symmetry_space_group_name_Hall '-P 4 2'
loop_
_atom_site_label
_atom_site_fract_x
_atom_site_fract_y
_atom_site_fract_z
Pm1 0.0000 0.0000 0.1676
Ho1 0.0000 0.0000 0.5000
Sn1 0.0000 0.5000 0.0000
Sn2 0.0000 0.5000 0.3369
Sn3 0.5000 0.5000 0.1688
Sn4 0.5000 0.5000 0.5000
```

Summary:
For the density of states at the Fermi level, the calculation gives 8.1 states/eV/cell. The energy of formation from the pure elements comes out at -460.2 meV per atom.

Record 9
Computed, not measured: a geometry-optimized PmHo2Sn structure at the PBE level of DFT.

Structure (CIF):
```
data_PmHo2Sn
_chemical_formula_sum 'Pm4 Ho8 Sn4'
_cell_length_a 7.6692
_cell_length_b 7.6692
_cell_length_c 7.6692
_cell_angle_alpha 90.00
_cell_angle_beta 90.00
_cell_angle_gamma 90.00
_symmetry_space_group_name_H-M 'F m -3 m'
_symmetry_Int_Tables_number 225
_symmetry_space_group_name_Hall '-F 4 2 3'
loop_
_atom_site_label
_atom_site_fract_x
_atom_site_fract_y
_atom_site_fract_z
Pm1 0.0000 0.0000 0.0000
Ho1 0.2500 0.2500 0.2500
Sn1 0.0000 0.0000 0.5000
```

Summary:
Its energy above the most stable polymorph in this dataset is 0.213 eV per atom. For the density of states at the Fermi level, the calculation gives 27.9 states/eV/cell. The energy of formation from the pure elements comes out at -206.1 meV per atom.

Record 10
Computed, not measured: a geometry-optimized Pm5HoSn8 structure at the PBE level of DFT.

Structure (CIF):
```
data_Pm5HoSn8
_chemical_formula_sum 'Pm10 Ho2 Sn16'
_cell_length_a 9.6786
_cell_length_b 9.6786
_cell_length_c 8.8162
_cell_angle_alpha 90.00
_cell_angle_beta 90.00
_cell_angle_gamma 90.00
_symmetry_space_group_name_H-M 'I -4'
_symmetry_Int_Tables_number 82
_symmetry_space_group_name_Hall 'I -4'
loop_
_atom_site_label
_atom_site_fract_x
_atom_site_fract_y
_atom_site_fract_z
Pm1 0.0000 0.0000 0.0000
Pm2 0.1124 0.7489 0.3727
Ho1 0.0000 0.5000 0.7500
Sn1 0.0817 0.8194 0.7179
Sn2 0.0827 0.6755 0.0274
```

Summary:
For the density of states at the Fermi level, the calculation gives 18.2 states/eV/cell. The energy of formation from the pure elements comes out at -548.6 meV per atom.

Record 11
Computed, not measured: a geometry-optimized PmHo4Sn structure at the PBE level of DFT.

Structure (CIF):
```
data_PmHo4Sn
_chemical_formula_sum 'Pm4 Ho16 Sn4'
_cell_length_a 4.7615
_cell_length_b 14.7692
_cell_length_c 10.0437
_cell_angle_alpha 90.00
_cell_angle_beta 90.00
_cell_angle_gamma 90.00
_symmetry_space_group_name_H-M 'C m c 21'
_symmetry_Int_Tables_number 36
_symmetry_space_group_name_Hall 'C 2c -2'
loop_
_atom_site_label
_atom_site_fract_x
_atom_site_fract_y
_atom_site_fract_z
Pm1 0.0000 0.1691 0.0000
Ho1 0.0000 0.0078 0.7378
Ho2 0.0000 0.1664 0.4811
Ho3 0.0000 0.3227 0.7389
Ho4 0.0000 0.4986 0.9880
Sn1 0.0000 0.3357 0.2379
```

Summary:
For the density of states at the Fermi level, the calculation gives 33.0 states/eV/cell. The energy of formation from the pure elements comes out at -224.1 meV per atom.

Record 12
Computed, not measured: a geometry-optimized Pm2HoSn2 structure at the PBE level of DFT.

Structure (CIF):
```
data_Pm2HoSn2
_chemical_formula_sum 'Pm4 Ho2 Sn4'
_cell_length_a 8.1213
_cell_length_b 8.1213
_cell_length_c 4.5174
_cell_angle_alpha 90.00
_cell_angle_beta 90.00
_cell_angle_gamma 90.00
_symmetry_space_group_name_H-M 'P 4/m b m'
_symmetry_Int_Tables_number 127
_symmetry_space_group_name_Hall '-P 4 2ab'
loop_
_atom_site_label
_atom_site_fract_x
_atom_site_fract_y
_atom_site_fract_z
Pm1 0.1711 0.3289 0.0000
Ho1 0.0000 0.0000 0.5000
Sn1 0.1312 0.6312 0.5000
```

Summary:
Its energy above the most stable polymorph in this dataset is 0.000 eV per atom. For the density of states at the Fermi level, the calculation gives 9.1 states/eV/cell. The energy of formation from the pure elements comes out at -711.6 meV per atom.

no.,volume (Å³/f.u.),VASP energy (eV per cell)
1,120.0,-76.31
2,116.0,-19.82
3,329.6,-106.05
4,113.8,-40.59
5,94.2,-28.82
6,216.5,-77.49
7,110.6,-19.70
8,320.2,-55.63
9,112.8,-74.93
10,412.9,-136.07
11,176.6,-113.64
12,149.0,-51.29